1.
Here is a geometry-optimized ZrGe structure from the Alexandria database. Energies are from PBE.

Unit cell a=4.6818 b=4.6818 c=5.3902 alpha=90.00 beta=90.00 gamma=120.00
Fractional positions:
Zr 0.3333 0.6667 0.2500
Zr 0.6667 0.3333 0.7500
Ge 0.3333 0.6667 0.7500
Ge 0.6667 0.3333 0.2500

Summary:
Total DFT energy (no corrections), eV/atom: -6.9352
D(E_F), states/eV per atom: 0.30
Space-group type: P6_3/mmc, No. 194

2.
Here is a geometry-optimized ZrGe structure from the Alexandria database. Energies are from PBE.

Unit cell a=3.9932 b=5.0820 c=3.8451 alpha=90.00 beta=90.00 gamma=90.00
Fractional positions:
Zr 0.0000 0.0000 0.0000
Zr 0.5000 0.5000 0.0000
Ge 0.0000 0.5000 0.5000
Ge 0.5000 0.0000 0.5000

Summary:
Total DFT energy (no corrections), eV/atom: -7.1900
D(E_F), states/eV per atom: 0.34
Space-group type: Cmmm, No. 65